A plane-wave DFT calculation with PBE was carried out for an optimized crystal structure of KHgPb2.

Calculated values
* SG: Pnma
* energy of formation: -0.4 eV per formula unit

```
KHgPb2
1.0
9.119 0.000 0.000
0.000 4.604 0.000
0.000 0.000 13.808
K Hg Pb
4 4 8
direct
0.158 0.250 0.141 K
0.342 0.750 0.641 K
0.658 0.250 0.359 K
0.842 0.750 0.859 K
0.139 0.250 0.883 Hg
0.361 0.750 0.383 Hg
0.639 0.250 0.617 Hg
0.861 0.750 0.117 Hg
0.015 0.250 0.671 Pb
0.139 0.250 0.454 Pb
0.361 0.750 0.954 Pb
0.485 0.750 0.171 Pb
0.515 0.250 0.829 Pb
0.639 0.250 0.046 Pb
0.861 0.750 0.546 Pb
0.985 0.750 0.329 Pb
```

---

A plane-wave DFT calculation with PBE was carried out for an optimized crystal structure of K4Cd3Hg.

Calculated values
* SG: Pmm2
* energy of formation: -0.9 eV per formula unit

```
K4Cd3Hg
1.0
4.948 0.000 0.000
0.000 5.191 0.000
0.000 0.000 12.867
K Cd Hg
4 3 1
direct
0.000 0.000 0.000 K
0.000 0.500 0.296 K
0.500 0.000 0.495 K
0.500 0.500 0.797 K
0.000 0.000 0.703 Cd
0.000 0.500 0.590 Cd
0.500 0.500 0.089 Cd
0.500 0.000 0.207 Hg
```

---

A plane-wave DFT calculation with PBE was carried out for an optimized crystal structure of Al4HgP.

Calculated values
* SG: F-43m
* energy of formation: 2.3 eV per formula unit

```
Al4HgP
1.0
0.000 3.822 3.822
3.822 0.000 3.822
3.822 3.822 0.000
Al Hg P
4 1 1
direct
0.125 0.125 0.125 Al
0.125 0.125 0.624 Al
0.125 0.624 0.125 Al
0.624 0.125 0.125 Al
0.750 0.750 0.750 Hg
0.500 0.500 0.500 P
```

---

A plane-wave DFT calculation with PBE was carried out for an optimized crystal structure of HgRu3F.

Calculated values
* SG: Pm-3m
* formation energy without anion corrections: 1000 meV/atom
* energy above the lowest structure with this stoichiometry: 0.000 eV per atom

```
HgRu3F
1.0
4.323 0.000 0.000
0.000 4.323 0.000
0.000 0.000 4.323
Hg Ru F
1 3 1
direct
0.000 0.000 0.000 Hg
0.000 0.500 0.500 Ru
0.500 0.000 0.500 Ru
0.500 0.500 0.000 Ru
0.500 0.500 0.500 F
```

---

A plane-wave DFT calculation with PBE was carried out for an optimized crystal structure of NpRhPb.

Calculated values
* SG: P4/nmm
* energy of formation: 0.2 eV per formula unit

```
NpRhPb
1.0
4.410 0.000 0.000
0.000 4.410 0.000
0.000 0.000 7.222
Np Rh Pb
2 2 2
direct
0.250 0.250 0.134 Np
0.750 0.750 0.866 Np
0.250 0.250 0.786 Rh
0.750 0.750 0.214 Rh
0.250 0.750 0.500 Pb
0.750 0.250 0.500 Pb
```

---

A plane-wave DFT calculation with PBE was carried out for an optimized crystal structure of In2Hg2Pb5.

Calculated values
* SG: P-1
* energy above the lowest structure with this stoichiometry: 0.000 eV per atom
* energy of formation: 0.1 eV per formula unit

```
In2Hg2Pb5
1.0
6.016 0.000 0.000
1.409 6.185 0.000
1.379 0.191 7.084
In Hg Pb
2 2 5
direct
0.225 0.451 0.098 In
0.775 0.549 0.902 In
0.364 0.654 0.675 Hg
0.636 0.346 0.325 Hg
0.000 0.000 0.000 Pb
0.075 0.234 0.546 Pb
0.457 0.896 0.232 Pb
0.543 0.104 0.768 Pb
0.925 0.766 0.454 Pb
```

---

A plane-wave DFT calculation with PBE was carried out for an optimized crystal structure of Na2CdSbTe4.

Calculated values
* SG: P2/m
* formation energy without anion corrections: -434 meV/atom

```
Na2CdSbTe4
1.0
7.612 0.000 0.000
0.000 4.243 0.000
-2.468 0.000 7.732
Na Cd Sb Te
2 1 1 4
direct
0.000 0.000 0.000 Na
0.500 0.500 0.000 Na
0.000 0.500 0.500 Cd
0.500 0.000 0.500 Sb
0.237 0.000 0.721 Te
0.261 0.500 0.268 Te
0.739 0.500 0.732 Te
0.763 0.000 0.279 Te
```

---

A plane-wave DFT calculation with PBE was carried out for an optimized crystal structure of DyZn2Pd3.

Calculated values
* SG: P6_3/mmc
* energy of formation: -4.2 eV per formula unit

```
DyZn2Pd3
1.0
4.409 0.000 0.000
-2.204 3.818 0.000
0.000 0.000 12.299
Dy Zn Pd
2 4 6
direct
0.000 0.000 0.250 Dy
0.000 0.000 0.750 Dy
0.333 0.667 0.081 Zn
0.333 0.667 0.419 Zn
0.667 0.333 0.581 Zn
0.667 0.333 0.919 Zn
0.000 0.000 0.000 Pd
0.000 0.000 0.500 Pd
0.333 0.667 0.630 Pd
0.333 0.667 0.870 Pd
0.667 0.333 0.130 Pd
0.667 0.333 0.370 Pd
```

---

A plane-wave DFT calculation with PBE was carried out for an optimized crystal structure of BiP2OsCl.

Calculated values
* SG: P4/mmm
* formation energy without anion corrections: 1938 meV/atom
* energy above the lowest structure with this stoichiometry: 1.472 eV per atom

```
BiP2OsCl
1.0
5.284 0.000 0.000
0.000 5.284 0.000
0.000 0.000 5.117
Bi P Os Cl
1 2 1 1
direct
0.000 0.000 0.000 Bi
0.000 0.500 0.000 P
0.500 0.000 0.000 P
0.500 0.500 0.500 Os
0.000 0.000 0.500 Cl
```

---

A plane-wave DFT calculation with PBE was carried out for an optimized crystal structure of In2FeIr.

Calculated values
* SG: Imm2
* energy of formation: 0.6 eV per formula unit

```
In2FeIr
1.0
-1.490 2.305 5.168
1.490 -2.305 5.168
1.490 2.305 -5.168
In Fe Ir
2 1 1
direct
0.000 0.000 0.000 In
0.706 0.206 0.500 In
0.456 0.456 0.000 Fe
0.252 0.752 0.500 Ir
```

---

A plane-wave DFT calculation with PBE was carried out for an optimized crystal structure of InAg3W.

Calculated values
* SG: Pm-3m
* energy above the lowest structure with this stoichiometry: 0.349 eV per atom
* energy of formation: 9.3 eV per formula unit

```
InAg3W
1.0
4.932 0.000 0.000
0.000 4.932 0.000
0.000 0.000 4.932
In Ag W
1 3 1
direct
0.000 0.000 0.000 In
0.000 0.000 0.500 Ag
0.000 0.500 0.000 Ag
0.500 0.000 0.000 Ag
0.500 0.500 0.500 W
```

---

A plane-wave DFT calculation with PBE was carried out for an optimized crystal structure of BaSrY2.

Calculated values
* SG: R-3m
* energy above the lowest structure with this stoichiometry: 0.128 eV per atom
* energy of formation: 1.1 eV per formula unit

```
BaSrY2
1.0
1.917 1.107 12.820
-1.917 1.107 12.820
0.000 -2.214 12.820
Ba Sr Y
1 1 2
direct
0.000 0.000 0.000 Ba
0.500 0.500 0.500 Sr
0.249 0.249 0.249 Y
0.751 0.751 0.751 Y
```

---

Which formula does entry 6 have?
In2Hg2Pb5